First-principles (PBE-GGA) data for ErMnSi3Ir after structural relaxation, as listed in the Alexandria database.

Computed properties:
density of states at the Fermi level: 5.61 states/eV/cell
ρ: 7.605 g/cm³
volume: 18.148 A^3/atom
VASP energy: -6.830 eV/atom

a = 6.6077 Å, b = 6.6077 Å, c = 5.3440 Å
α = 90.00°, β = 90.00°, γ = 111.04°
Atoms (fractional coordinates):
Er1 0.2308 0.7692 0.7500
Er2 0.7692 0.2308 0.2500
Mn1 0.0467 0.9533 0.2500
Mn2 0.9533 0.0467 0.7500
Si1 0.2393 0.7607 0.2500
Si2 0.2400 0.2400 0.0000
Si3 0.2400 0.2400 0.5000
Si4 0.7600 0.7600 0.0000
Si5 0.7600 0.7600 0.5000
Si6 0.7607 0.2393 0.7500
Ir1 0.4418 0.5582 0.2500
Ir2 0.5582 0.4418 0.7500